(1)
Here is crystalline Pr2Ho12Sc5 at its relaxed geometry from Alexandria via LeMat-Bulk. Energies are from PBE.

Cell: 6.8497 11.1729 8.3927 Å, 73.07 90.00 107.85°
Sites, in units of the cell vectors:
Pr (0.2506, 0.0000, 0.0000)
Ho (0.8538, 0.2185, 0.6090)
Pr (0.7494, 0.0000, 0.0000)
Sc (0.3471, 0.6942, 0.0979)
Ho (0.1462, 0.7815, 0.3910)
Ho (0.6353, 0.7815, 0.3910)
Sc (0.2512, 0.5025, 0.5030)
Ho (0.5448, 0.5967, 0.7945)
Sc (0.0000, 0.0000, 0.5000)
Ho (0.4512, 0.9023, 0.6901)
Ho (0.5488, 0.0977, 0.3099)
Ho (0.4552, 0.4033, 0.2055)
Ho (0.8490, 0.6981, 0.0845)
Ho (0.0520, 0.5967, 0.7945)
Sc (0.6529, 0.3058, 0.9021)
Ho (0.1510, 0.3019, 0.9155)
Ho (0.9480, 0.4033, 0.2055)
Sc (0.7488, 0.4975, 0.4970)
Ho (0.3647, 0.2185, 0.6090)

Results
DFT formation energy: 3.7 kcal/mol of atoms
uncorrected energy: -4.901 eV per atom

(2)
Here is crystalline PrHo2Sc7 at its relaxed geometry from Alexandria via LeMat-Bulk. Energies are from PBE.

Cell: 5.0449 7.5098 9.3400 Å, 113.70 90.00 90.00°
Sites, in units of the cell vectors:
Sc (0.5000, 0.1016, 0.8058)
Sc (0.0000, 0.5927, 0.1855)
Sc (0.5000, 0.2959, 0.1942)
Sc (0.5000, 0.8984, 0.1942)
Sc (0.5000, 0.7041, 0.8058)
Pr (0.0000, 0.0000, 0.0000)
Sc (0.0000, 0.4073, 0.8145)
Ho (0.5000, 0.2627, 0.5254)
Sc (0.5000, 0.5000, 0.0000)
Ho (0.5000, 0.7373, 0.4746)

Results
DFT formation energy: 14.0 kcal/mol of atoms
uncorrected energy: -5.217 eV per atom

(3)
Here is crystalline Pr7HoSc2 at its relaxed geometry from Alexandria via LeMat-Bulk. Energies are from PBE.

Cell: 5.6215 9.0348 9.0348 Å, 119.64 90.00 90.00°
Sites, in units of the cell vectors:
Pr (0.5000, 0.5000, 0.5000)
Pr (0.5000, 0.6960, 0.9378)
Ho (0.0000, 0.0000, 0.0000)
Sc (0.5000, 0.7024, 0.2976)
Pr (0.5000, 0.9378, 0.6960)
Pr (0.0000, 0.7518, 0.2482)
Pr (0.0000, 0.2482, 0.7518)
Pr (0.5000, 0.0622, 0.3040)
Pr (0.5000, 0.3040, 0.0622)
Sc (0.5000, 0.2976, 0.7024)

Results
DFT formation energy: 13.5 kcal/mol of atoms
uncorrected energy: -4.484 eV per atom

(4)
Here is crystalline Pr12Ho5Sc2 at its relaxed geometry from Alexandria via LeMat-Bulk. Energies are from PBE.

Cell: 7.8379 10.1081 9.6613 Å, 68.13 90.00 112.81°
Sites, in units of the cell vectors:
Pr (0.3844, 0.3081, 0.1353)
Pr (0.6019, 0.6874, 0.4814)
Ho (0.7932, 0.5865, 0.2063)
Ho (0.0000, 0.0000, 0.5000)
Pr (0.5150, 0.0299, 0.3209)
Pr (0.0187, 0.0374, 0.8162)
Pr (0.0855, 0.6874, 0.4814)
Sc (0.6737, 0.0000, 0.0000)
Ho (0.2068, 0.4135, 0.7937)
Pr (0.9813, 0.9626, 0.1838)
Pr (0.3981, 0.3126, 0.5186)
Pr (0.9236, 0.3081, 0.1353)
Pr (0.6156, 0.6919, 0.8647)
Sc (0.3263, 0.0000, 0.0000)
Pr (0.0764, 0.6919, 0.8647)
Ho (0.6867, 0.3734, 0.8050)
Pr (0.9145, 0.3126, 0.5186)
Ho (0.3133, 0.6266, 0.1950)
Pr (0.4850, 0.9701, 0.6791)

Results
DFT formation energy: 3.9 kcal/mol of atoms
uncorrected energy: -4.719 eV per atom

(5)
Here is crystalline PrHo2Sc at its relaxed geometry from Alexandria via LeMat-Bulk. Energies are from PBE.

Cell: 5.0245 4.9251 4.9251 Å, 90.00 90.00 90.00°
Sites, in units of the cell vectors:
Pr (0.5000, 0.5000, 0.5000)
Sc (0.5000, 0.0000, 0.0000)
Ho (0.0000, 0.5000, 0.0000)
Ho (0.0000, 0.0000, 0.5000)

Results
DFT formation energy: 1.1 kcal/mol of atoms
energy above the most stable polymorph in this dataset: 0.0 meV/atom
uncorrected energy: -5.021 eV per atom

(6)
Here is crystalline Pr2Ho15Sc2 at its relaxed geometry from Alexandria via LeMat-Bulk. Energies are from PBE.

Cell: 8.6348 8.6348 8.6348 Å, 80.60 80.60 80.60°
Sites, in units of the cell vectors:
Ho (0.1454, 0.6372, 0.6372)
Ho (0.8546, 0.3628, 0.3628)
Ho (0.2933, 0.7067, 0.0000)
Ho (0.3628, 0.3628, 0.8546)
Ho (0.3628, 0.8546, 0.3628)
Ho (0.2933, 0.0000, 0.7067)
Ho (0.5000, 0.0000, 0.0000)
Ho (0.7067, 0.0000, 0.2933)
Sc (0.9082, 0.9082, 0.9082)
Ho (0.6372, 0.1454, 0.6372)
Pr (0.3250, 0.3250, 0.3250)
Pr (0.6750, 0.6750, 0.6750)
Ho (0.6372, 0.6372, 0.1454)
Ho (0.0000, 0.0000, 0.5000)
Ho (0.0000, 0.7067, 0.2933)
Ho (0.7067, 0.2933, 0.0000)
Ho (0.0000, 0.2933, 0.7067)
Ho (0.0000, 0.5000, 0.0000)
Sc (0.0918, 0.0918, 0.0918)

Results
DFT formation energy: 6.4 kcal/mol of atoms
uncorrected energy: -4.507 eV per atom

(7)
Here is crystalline Pr3Ho4Sc2 at its relaxed geometry from Alexandria via LeMat-Bulk. Energies are from PBE.

Cell: 6.1728 9.7237 9.7236 Å, 81.62 87.31 87.31°
Sites, in units of the cell vectors:
Ho (0.9252, 0.1640, 0.0274)
Pr (0.3991, 0.3153, 0.8769)
Sc (0.6313, 0.1191, 0.5017)
Pr (0.2500, 0.5535, 0.4465)
Pr (0.8991, 0.8769, 0.3153)
Ho (0.6126, 0.3486, 0.2184)
Ho (0.5748, 0.9726, 0.8360)
Pr (0.7500, 0.4465, 0.5535)
Ho (0.4252, 0.0274, 0.1640)
Ho (0.3874, 0.6514, 0.7816)
Sc (0.1313, 0.5017, 0.1191)
Sc (0.3687, 0.8809, 0.4983)
Ho (0.1126, 0.2184, 0.3486)
Sc (0.8687, 0.4983, 0.8809)
Ho (0.0748, 0.8360, 0.9726)
Pr (0.6009, 0.6847, 0.1231)
Pr (0.1009, 0.1231, 0.6847)
Ho (0.8874, 0.7816, 0.6514)

Results
DFT formation energy: 3.4 kcal/mol of atoms
energy above the most stable polymorph in this dataset: 23.5 meV/atom
uncorrected energy: -4.886 eV per atom

(8)
Here is crystalline PrHoSc4 at its relaxed geometry from Alexandria via LeMat-Bulk. Energies are from PBE.

Cell: 6.3151 6.3151 6.3151 Å, 60.00 60.00 60.00°
Sites, in units of the cell vectors:
Pr (0.2500, 0.2500, 0.2500)
Ho (0.0000, 0.0000, 0.0000)
Sc (0.6250, 0.1250, 0.6250)
Sc (0.6250, 0.6250, 0.6250)
Sc (0.6250, 0.6250, 0.1250)
Sc (0.1250, 0.6250, 0.6250)

Results
DFT formation energy: 5.4 kcal/mol of atoms
energy above the most stable polymorph in this dataset: 193.3 meV/atom
uncorrected energy: -5.547 eV per atom

(9)
Here is crystalline Pr5Ho4Sc2 at its relaxed geometry from Alexandria via LeMat-Bulk. Energies are from PBE.

Cell: 3.4910 9.2253 12.5406 Å, 111.58 98.00 90.00°
Sites, in units of the cell vectors:
Pr (0.8476, 0.6425, 0.6952)
Ho (0.5988, 0.5988, 0.1975)
Ho (0.0000, 0.3131, 0.0000)
Ho (0.4012, 0.4012, 0.8025)
Sc (0.2702, 0.2702, 0.5405)
Pr (0.1524, 0.9473, 0.3048)
Pr (0.8476, 0.0527, 0.6952)
Ho (0.0000, 0.6869, 0.0000)
Pr (0.5000, 0.0000, 0.0000)
Pr (0.1524, 0.3575, 0.3048)
Sc (0.7298, 0.7298, 0.4595)

Results
DFT formation energy: 5.1 kcal/mol of atoms
energy above the most stable polymorph in this dataset: 143.6 meV/atom
uncorrected energy: -4.765 eV per atom

(10)
Here is crystalline Pr4Ho2Sc at its relaxed geometry from Alexandria via LeMat-Bulk. Energies are from PBE.

Cell: 6.0166 6.2012 7.1684 Å, 115.63 90.00 90.00°
Sites, in units of the cell vectors:
Pr (0.0000, 0.1873, 0.3746)
Sc (0.0000, 0.5000, 0.0000)
Ho (0.5000, 0.8867, 0.7734)
Ho (0.5000, 0.1133, 0.2266)
Pr (0.5000, 0.6353, 0.2705)
Pr (0.5000, 0.3647, 0.7295)
Pr (0.0000, 0.8127, 0.6254)

Results
DFT formation energy: 11.9 kcal/mol of atoms
energy above the most stable polymorph in this dataset: 481.2 meV/atom
uncorrected energy: -4.428 eV per atom

(11)
Here is crystalline Pr3Ho4Sc2 at its relaxed geometry from Alexandria via LeMat-Bulk. Energies are from PBE.

Cell: 6.7197 8.3516 11.5867 Å, 81.68 70.73 104.77°
Sites, in units of the cell vectors:
Ho (0.1107, 0.2440, 0.9494)
Sc (0.4046, 0.1598, 0.4551)
Ho (0.3536, 0.4923, 0.2803)
Ho (0.8773, 0.2306, 0.4919)
Ho (0.5788, 0.9446, 0.2343)
Sc (0.5954, 0.8402, 0.5449)
Sc (0.8689, 0.3524, 0.1981)
Ho (0.6464, 0.5077, 0.7197)
Pr (0.8074, 0.5958, 0.3697)
Ho (0.4212, 0.0554, 0.7657)
Pr (0.3855, 0.6900, 0.0005)
Pr (0.8986, 0.9532, 0.7455)
Pr (0.6145, 0.3100, 0.9995)
Pr (0.1014, 0.0468, 0.2545)
Sc (0.1311, 0.6476, 0.8019)
Pr (0.1926, 0.4042, 0.6303)
Ho (0.1227, 0.7694, 0.5081)
Ho (0.8893, 0.7560, 0.0506)

Results
DFT formation energy: 2.9 kcal/mol of atoms
energy above the most stable polymorph in this dataset: 0.0 meV/atom
uncorrected energy: -4.909 eV per atom

(12)
Here is crystalline PrHo3Sc at its relaxed geometry from Alexandria via LeMat-Bulk. Energies are from PBE.

Cell: 5.5923 6.2010 9.4595 Å, 109.32 90.00 90.00°
Sites, in units of the cell vectors:
Sc (0.7500, 0.1307, 0.5948)
Ho (0.7500, 0.9368, 0.2110)
Ho (0.2500, 0.6667, 0.0038)
Ho (0.2500, 0.4517, 0.5943)
Ho (0.7500, 0.3333, 0.9962)
Pr (0.2500, 0.2706, 0.2014)
Pr (0.7500, 0.7294, 0.7986)
Sc (0.2500, 0.8693, 0.4052)
Ho (0.7500, 0.5483, 0.4057)
Ho (0.2500, 0.0632, 0.7890)

Results
DFT formation energy: 0.8 kcal/mol of atoms
energy above the most stable polymorph in this dataset: 0.0 meV/atom
uncorrected energy: -4.935 eV per atom

(13)
Here is crystalline Pr3Ho5Sc2 at its relaxed geometry from Alexandria via LeMat-Bulk. Energies are from PBE.

Cell: 9.7754 9.7754 9.7754 Å, 113.10 124.43 92.43°
Sites, in units of the cell vectors:
Ho (0.1244, 0.8554, 0.2691)
Ho (0.8756, 0.1446, 0.7309)
Pr (0.4740, 0.1053, 0.3687)
Pr (0.5260, 0.8947, 0.6313)
Sc (0.1807, 0.1204, 0.0604)
Ho (0.4137, 0.6446, 0.7691)
Pr (0.0000, 0.2500, 0.2500)
Ho (0.7512, 0.0012, 0.2500)
Sc (0.0600, 0.6204, 0.4396)
Ho (0.5000, 0.7500, 0.2500)
Ho (0.5000, 0.2500, 0.7500)
Pr (0.2634, 0.3947, 0.8687)
Ho (0.2488, 0.9988, 0.7500)
Pr (0.7366, 0.6053, 0.1313)
Ho (0.7512, 0.5012, 0.7500)
Ho (0.2488, 0.4988, 0.2500)
Pr (0.0000, 0.7500, 0.7500)
Ho (0.5863, 0.3554, 0.2309)
Sc (0.8193, 0.8796, 0.9396)
Sc (0.9400, 0.3796, 0.5604)

Results
DFT formation energy: 8.4 kcal/mol of atoms
uncorrected energy: -4.626 eV per atom

(14)
Here is crystalline PrHo6Sc2 at its relaxed geometry from Alexandria via LeMat-Bulk. Energies are from PBE.

Cell: 11.9269 7.1736 7.1736 Å, 86.18 71.25 71.25°
Sites, in units of the cell vectors:
Ho (0.6042, 0.7669, 0.4869)
Ho (0.5698, 0.7355, 0.9443)
Ho (0.1440, 0.6413, 0.2442)
Ho (0.3560, 0.7558, 0.3587)
Sc (0.3581, 0.6096, 0.7834)
Ho (0.8560, 0.3587, 0.7558)
Ho (0.8958, 0.5131, 0.2331)
Ho (0.4302, 0.2645, 0.0557)
Ho (0.6440, 0.2442, 0.6413)
Ho (0.9302, 0.0557, 0.2645)
Sc (0.6419, 0.3904, 0.2166)
Ho (0.0698, 0.9443, 0.7355)
Pr (0.2500, 0.0449, 0.9551)
Sc (0.1419, 0.2166, 0.3904)
Pr (0.7500, 0.9551, 0.0449)
Ho (0.3958, 0.2331, 0.5131)
Sc (0.8581, 0.7834, 0.6096)
Ho (0.1042, 0.4869, 0.7669)

Results
DFT formation energy: 4.5 kcal/mol of atoms
energy above the most stable polymorph in this dataset: 0.0 meV/atom
uncorrected energy: -4.793 eV per atom

(15)
Here is crystalline Pr8Ho6Sc at its relaxed geometry from Alexandria via LeMat-Bulk. Energies are from PBE.

Cell: 8.7467 8.7467 8.7467 Å, 63.03 63.03 63.03°
Sites, in units of the cell vectors:
Pr (0.2848, 0.2438, 0.8878)
Pr (0.1122, 0.7152, 0.7562)
Ho (0.4562, 0.7538, 0.9044)
Pr (0.8878, 0.2848, 0.2438)
Ho (0.9044, 0.4562, 0.7538)
Ho (0.0956, 0.5438, 0.2462)
Ho (0.5438, 0.2462, 0.0956)
Sc (0.0000, 0.0000, 0.0000)
Pr (0.7152, 0.7562, 0.1122)
Pr (0.5782, 0.5782, 0.5782)
Pr (0.4218, 0.4218, 0.4218)
Pr (0.7562, 0.1122, 0.7152)
Pr (0.2438, 0.8878, 0.2848)
Ho (0.2462, 0.0956, 0.5438)
Ho (0.7538, 0.9044, 0.4562)

Results
DFT formation energy: 2.9 kcal/mol of atoms
uncorrected energy: -4.676 eV per atom

(16)
Here is crystalline Pr4Ho3Sc at its relaxed geometry from Alexandria via LeMat-Bulk. Energies are from PBE.

Cell: 3.5038 11.5464 8.8779 Å, 130.56 101.38 90.00°
Sites, in units of the cell vectors:
Pr (0.6318, 0.3767, 0.2637)
Ho (0.7636, 0.7636, 0.5271)
Pr (0.6318, 0.8870, 0.2636)
Ho (0.2364, 0.2364, 0.4729)
Sc (0.5000, 0.0000, 0.0000)
Pr (0.3682, 0.1130, 0.7364)
Pr (0.3682, 0.6233, 0.7363)
Ho (0.0000, 0.5000, 0.0000)

Results
DFT formation energy: 2.9 kcal/mol of atoms
energy above the most stable polymorph in this dataset: 92.4 meV/atom
uncorrected energy: -4.772 eV per atom

(17)
Here is crystalline PrHo2Sc4 at its relaxed geometry from Alexandria via LeMat-Bulk. Energies are from PBE.

Cell: 8.1433 8.1077 6.4964 Å, 125.39 131.51 90.08°
Sites, in units of the cell vectors:
Ho (0.2778, 0.7809, 0.4987)
Sc (0.3031, 0.3028, 0.9995)
Sc (0.2973, 0.6631, 0.9583)
Ho (0.7220, 0.2191, 0.5012)
Pr (0.0001, 0.0001, 0.0002)
Sc (0.6965, 0.6968, 0.9997)
Sc (0.7031, 0.3371, 0.0424)

Results
DFT formation energy: 4.9 kcal/mol of atoms
energy above the most stable polymorph in this dataset: 128.6 meV/atom
uncorrected energy: -5.396 eV per atom

(18)
Here is crystalline PrHo3Sc2 at its relaxed geometry from Alexandria via LeMat-Bulk. Energies are from PBE.

Cell: 6.1662 7.0407 9.6164 Å, 111.45 108.70 90.00°
Sites, in units of the cell vectors:
Pr (0.2553, 0.7500, 0.0000)
Ho (0.1901, 0.4375, 0.3746)
Sc (0.6456, 0.1457, 0.2914)
Ho (0.1844, 0.9375, 0.3746)
Pr (0.7447, 0.2500, 0.0000)
Ho (0.8156, 0.0625, 0.6254)
Sc (0.6457, 0.6457, 0.2914)
Sc (0.3543, 0.3543, 0.7086)
Sc (0.3544, 0.8543, 0.7086)
Ho (0.7543, 0.7500, 0.0000)
Ho (0.2457, 0.2500, 0.0000)
Ho (0.8099, 0.5625, 0.6254)

Results
DFT formation energy: 3.8 kcal/mol of atoms
energy above the most stable polymorph in this dataset: 11.3 meV/atom
uncorrected energy: -5.032 eV per atom

(19)
Here is crystalline Pr15Ho4Sc at its relaxed geometry from Alexandria via LeMat-Bulk. Energies are from PBE.

Cell: 5.1742 5.1742 25.7667 Å, 90.00 90.00 90.00°
Sites, in units of the cell vectors:
Sc (0.0000, 0.0000, 0.0000)
Pr (0.5000, 0.5000, 0.1980)
Pr (0.5000, 0.0000, 0.7014)
Pr (0.5000, 0.0000, 0.0973)
Pr (0.5000, 0.5000, 0.6006)
Ho (0.0000, 0.0000, 0.6007)
Ho (0.0000, 0.0000, 0.8021)
Pr (0.5000, 0.0000, 0.5000)
Pr (0.0000, 0.5000, 0.0973)
Pr (0.5000, 0.5000, 0.0000)
Pr (0.5000, 0.5000, 0.3994)
Ho (0.0000, 0.0000, 0.1979)
Pr (0.5000, 0.5000, 0.8020)
Pr (0.5000, 0.0000, 0.9027)
Pr (0.0000, 0.5000, 0.9027)
Ho (0.0000, 0.0000, 0.3993)
Pr (0.5000, 0.0000, 0.2986)
Pr (0.0000, 0.5000, 0.7014)
Pr (0.0000, 0.5000, 0.5000)
Pr (0.0000, 0.5000, 0.2986)

Results
DFT formation energy: 0.3 kcal/mol of atoms
uncorrected energy: -4.802 eV per atom

no.,volume (Å³/cell)
1,582
2,324
3,399
4,645
5,122
6,620
7,576
8,178
9,371
10,241
11,575
12,310
13,664
14,550
15,505
16,263
17,203
18,365
19,690